# PBE with a Hubbard U Na2VAgF8, optimized geometry
# density of states at the Fermi level = 0.005 states/eV per atom
# energy = -56.56 eV/cell
data_Na2VAgF8
_cell_length_a 4.980
_cell_length_b 7.026
_cell_length_c 5.027
_cell_angle_alpha 90.00
_cell_angle_beta 92.17
_cell_angle_gamma 90.00
_symmetry_space_group_name_H-M 'P 1 2/m 1'
_symmetry_Int_Tables_number 10
loop_
_symmetry_equiv_pos_as_xyz
'x,y,z'
'-x,-y,-z'
'-x,y,-z'
'x,-y,z'
loop_
_atom_site_label
_atom_site_type_symbol
_atom_site_fract_x
_atom_site_fract_y
_atom_site_fract_z
Na1 Na 0.000 0.249 0.000
V1 V 0.500 0.500 0.500
Ag1 Ag 0.500 0.000 0.500
F1 F 0.207 0.000 0.204
F2 F 0.236 0.500 0.233
F3 F 0.319 0.303 0.677



# PBE with a Hubbard U Na2AgWF8, optimized geometry
# energy = -56.90 eV/cell
data_Na2AgWF8
_cell_length_a 5.086
_cell_length_b 7.754
_cell_length_c 5.097
_cell_angle_alpha 90.00
_cell_angle_beta 91.71
_cell_angle_gamma 90.00
_symmetry_space_group_name_H-M 'P 1 2/m 1'
_symmetry_Int_Tables_number 10
loop_
_symmetry_equiv_pos_as_xyz
'x,y,z'
'-x,-y,-z'
'-x,y,-z'
'x,-y,z'
loop_
_atom_site_label
_atom_site_type_symbol
_atom_site_fract_x
_atom_site_fract_y
_atom_site_fract_z
Na1 Na 0.000 0.218 0.000
Ag1 Ag 0.500 0.000 0.500
W1 W 0.500 0.500 0.500
F1 F 0.202 0.000 0.204
F2 F 0.221 0.500 0.225
F3 F 0.310 0.329 0.694